(1)
PuCu2Ni3 after structural relaxation. Source: Alexandria, functional PBE-GGA.

a b c (Å): 4.807 6.074 6.074
angles (deg): 93.80 90.00 90.00
Last column: magnetic moment on the atom in μB.
Fractional coordinates of all 12 atoms:
Ni 0.250 0.555 0.930  -0.23
Ni 0.250 0.930 0.555  -0.23
Ni 0.750 0.070 0.445  -0.23
Ni 0.750 0.052 0.052  -0.20
Ni 0.750 0.445 0.070  -0.23
Ni 0.250 0.948 0.948  -0.20
Pu 0.750 0.713 0.713  5.04
Pu 0.250 0.287 0.287  5.04
Cu 0.000 0.761 0.239  0.01
Cu 0.500 0.239 0.761  0.01
Cu 0.500 0.761 0.239  0.01
Cu 0.000 0.239 0.761  0.01

Results
symmetry = Cmcm, No. 63
uncorrected energy = -6.639 eV/atom
crystal system = orthorhombic
E_form = 0.0061 eV/atom
size of the total moment = 9.4 Bohr magnetons per cell

***

(2)
PuCuNi after structural relaxation. Source: Alexandria, functional PBE-GGA.

a b c (Å): 3.277 3.277 8.442
angles (deg): 101.19 101.19 90.00
Fractional coordinates of all 6 atoms:
Cu 0.000 0.500 0.000
Cu 0.500 0.000 0.000
Ni 0.886 0.886 0.772
Ni 0.114 0.114 0.228
Pu 0.715 0.715 0.431
Pu 0.285 0.285 0.569

Results
symmetry = I4/mmm, No. 139
relative energy among the computed polymorphs = 0.477 eV per atom
uncorrected energy = -7.738 eV/atom
crystal system = tetragonal
E_form = 0.3320 eV/atom
size of the total moment = 0.0 Bohr magnetons per cell